1.
A plane-wave DFT calculation with PBE-GGA was carried out for a geometry-optimized Mg2Ga2Pb structure.

Unit cell a=8.221 b=8.221 c=3.258 alpha=90.00 beta=90.00 gamma=90.00
Positions (direct):
Ga 0.882 0.618 0.000
Ga 0.382 0.882 0.000
Ga 0.618 0.118 0.000
Ga 0.118 0.382 0.000
Pb 0.500 0.500 0.000
Pb 0.000 0.000 0.000
Mg 0.322 0.178 0.500
Mg 0.678 0.822 0.500
Mg 0.822 0.322 0.500
Mg 0.178 0.678 0.500

Output
total moment: 0.00 μB per atom
symmetry: P4/mbm, No. 127
energy relative to the elements: -75 meV/atom
ΔE to the lowest computed polymorph: 0.000 eV per atom



2.
A plane-wave DFT calculation with PBE-GGA was carried out for a geometry-optimized Mg12Ga2Pb5 structure.

Unit cell a=6.814 b=8.814 c=9.942 alpha=106.90 beta=90.00 gamma=112.74
Positions (direct):
Mg 0.568 0.640 0.910
Mg 0.432 0.360 0.090
Mg 0.928 0.360 0.090
Mg 0.594 0.710 0.454
Mg 0.519 0.038 0.177
Mg 0.074 0.148 0.802
Mg 0.406 0.290 0.546
Mg 0.116 0.710 0.454
Mg 0.926 0.852 0.198
Mg 0.884 0.290 0.546
Mg 0.481 0.962 0.823
Mg 0.072 0.640 0.910
Pb 0.297 0.595 0.656
Pb 0.340 0.681 0.186
Pb 0.000 0.000 0.500
Pb 0.703 0.405 0.344
Pb 0.660 0.319 0.814
Ga 0.821 0.000 0.000
Ga 0.179 0.000 0.000

Output
total moment: 0.00 μB per atom
symmetry: C2/m, No. 12
energy relative to the elements: 42 meV/atom



3.
A plane-wave DFT calculation with PBE-GGA was carried out for a geometry-optimized Mg6Ga5Pb structure.

Unit cell a=4.539 b=8.048 c=8.179 alpha=119.47 beta=106.11 gamma=90.00
Positions (direct):
Mg 0.500 0.278 0.000
Mg 0.170 0.434 0.340
Mg 0.830 0.566 0.660
Mg 0.830 0.094 0.660
Mg 0.170 0.906 0.340
Mg 0.500 0.722 0.000
Ga 0.000 0.500 0.000
Ga 0.676 0.676 0.353
Ga 0.324 0.324 0.647
Ga 0.334 0.834 0.668
Ga 0.666 0.166 0.332
Pb 0.000 0.000 0.000

Output
total moment: 0.00 μB per atom
symmetry: Immm, No. 71
energy relative to the elements: -105 meV/atom



4.
A plane-wave DFT calculation with PBE-GGA was carried out for a geometry-optimized Mg7Ga2Pb structure.

Unit cell a=4.680 b=4.680 c=11.010 alpha=102.27 beta=102.27 gamma=90.00
Positions (direct):
Pb 0.000 0.000 0.000
Mg 0.898 0.398 0.795
Mg 0.102 0.602 0.205
Mg 0.602 0.102 0.205
Mg 0.750 0.250 0.500
Mg 0.250 0.750 0.500
Mg 0.398 0.898 0.795
Mg 0.500 0.500 0.000
Ga 0.673 0.673 0.346
Ga 0.327 0.327 0.654

Output
total moment: 0.00 μB per atom
symmetry: I4/mmm, No. 139
energy relative to the elements: -83 meV/atom



5.
A plane-wave DFT calculation with PBE-GGA was carried out for a geometry-optimized Mg7Ga4Pb structure.

Unit cell a=5.445 b=8.255 c=6.970 alpha=77.02 beta=67.01 gamma=70.74
Positions (direct):
Mg 0.289 0.656 0.766
Mg 0.218 0.125 0.439
Mg 0.500 0.000 0.000
Mg 0.062 0.607 0.270
Mg 0.782 0.875 0.561
Mg 0.938 0.393 0.730
Mg 0.711 0.344 0.234
Pb 0.000 0.000 0.000
Ga 0.442 0.762 0.355
Ga 0.558 0.238 0.645
Ga 0.685 0.655 0.976
Ga 0.315 0.345 0.024

Output
total moment: 0.00 μB per atom
symmetry: C2/m, No. 12
energy relative to the elements: 19 meV/atom



6.
A plane-wave DFT calculation with PBE-GGA was carried out for a geometry-optimized Mg8GaPb2 structure.

Unit cell a=4.562 b=7.182 c=8.450 alpha=105.16 beta=105.66 gamma=90.00
Positions (direct):
Mg 0.671 0.911 0.343
Mg 0.135 0.176 0.270
Mg 0.039 0.735 0.078
Mg 0.413 0.558 0.825
Mg 0.865 0.824 0.730
Mg 0.329 0.089 0.657
Mg 0.961 0.265 0.922
Mg 0.587 0.442 0.175
Pb 0.220 0.654 0.439
Pb 0.780 0.346 0.561
Ga 0.500 0.000 0.000

Output
total moment: 0.00 μB per atom
symmetry: C2/m, No. 12
energy relative to the elements: -42 meV/atom
ΔE to the lowest computed polymorph: 0.000 eV per atom



7.
A plane-wave DFT calculation with PBE-GGA was carried out for a geometry-optimized Mg2GaPdPb structure.

Unit cell a=5.039 b=5.039 c=4.796 alpha=90.00 beta=90.00 gamma=90.00
Positions (direct):
Mg 0.000 0.500 0.000
Mg 0.500 0.000 0.000
Pd 0.000 0.000 0.000
Ga 0.000 0.000 0.500
Pb 0.500 0.500 0.500

Output
total moment: 0.00 μB per atom
symmetry: P4/mmm, No. 123
energy relative to the elements: -177 meV/atom



8.
A plane-wave DFT calculation with PBE-GGA was carried out for a geometry-optimized PrMgGaPb structure.

Unit cell a=5.289 b=5.289 c=5.289 alpha=60.00 beta=60.00 gamma=60.00
Positions (direct):
Pr 0.500 0.500 0.500
Pb 0.750 0.750 0.750
Ga 0.250 0.250 0.250
Mg 0.000 0.000 0.000

Output
total moment: 0.00 μB per atom
symmetry: F-43m, No. 216
energy relative to the elements: -265 meV/atom